[1]
VASP calculation (PBE) on a geometry-optimized CsSr3Os structure.

CIF file:
```
data_CsSr3Os
_chemical_formula_sum 'Cs1 Sr3 Os1'
_symmetry_space_group_name_H-M 'P m -3 m'
_symmetry_Int_Tables_number 221
_symmetry_space_group_name_Hall '-P 4 2 3'
_cell_length_a 5.8931
_cell_length_b 5.8931
_cell_length_c 5.8931
_cell_angle_alpha 90.00
_cell_angle_beta 90.00
_cell_angle_gamma 90.00
loop_
_atom_site_label
_atom_site_fract_x
_atom_site_fract_y
_atom_site_fract_z
_atom_site_occupancy
Cs1 0.0000 0.0000 0.0000 1
Sr1 0.0000 0.0000 0.5000 1
Os1 0.5000 0.5000 0.5000 1
```

## Properties
- Polymorph energy (0 for the lowest one): 1.647 eV/atom
- DOS at the Fermi energy: 2.323 states/eV/atom
- Total DFT energy (no corrections): -1.317 eV/atom
- Formation energy from the elements: 2.109 eV/atom

***

[2]
VASP calculation (PBE) on a geometry-optimized TbAl3Ag structure.

CIF file:
```
data_TbAl3Ag
_chemical_formula_sum 'Tb2 Al6 Ag2'
_symmetry_space_group_name_H-M 'I -4 m 2'
_symmetry_Int_Tables_number 119
_symmetry_space_group_name_Hall 'I -4 -2'
_cell_length_a 4.1903
_cell_length_b 4.1903
_cell_length_c 11.3189
_cell_angle_alpha 90.00
_cell_angle_beta 90.00
_cell_angle_gamma 90.00
loop_
_atom_site_label
_atom_site_fract_x
_atom_site_fract_y
_atom_site_fract_z
_atom_site_occupancy
Tb1 0.0000 0.0000 0.0000 1
Al1 0.0000 0.0000 0.3902 1
Al2 0.0000 0.5000 0.2500 1
Ag1 0.0000 0.5000 0.7500 1
```

## Properties
- Polymorph energy (0 for the lowest one): 0.009 eV/atom
- DOS at the Fermi energy: 0.224 states/eV/atom
- Total DFT energy (no corrections): -4.098 eV/atom
- Formation energy from the elements: -0.356 eV/atom

***

[3]
VASP calculation (PBE) on a geometry-optimized Re2HgAs structure.

CIF file:
```
data_Re2HgAs
_chemical_formula_sum 'Re4 Hg2 As2'
_symmetry_space_group_name_H-M 'C m m 2'
_symmetry_Int_Tables_number 35
_cell_length_a 2.8861
_cell_length_b 4.8398
_cell_length_c 10.8552
_cell_angle_alpha 90.00
_cell_angle_beta 90.00
_cell_angle_gamma 90.00
loop_
_symmetry_equiv_pos_as_xyz
'x,y,z'
'-x,-y,z'
'-x,y,z'
'x,-y,z'
'x+1/2,y+1/2,z'
'-x+1/2,-y+1/2,z'
'-x+1/2,y+1/2,z'
'x+1/2,-y+1/2,z'
loop_
_atom_site_label
_atom_site_fract_x
_atom_site_fract_y
_atom_site_fract_z
_atom_site_occupancy
Re1 0.0000 0.0000 0.0000 1
Re2 0.0000 0.5000 0.1976 1
Hg1 0.0000 0.0000 0.4549 1
As1 0.0000 0.5000 0.7921 1
```

## Properties
- Polymorph energy (0 for the lowest one): 0.221 eV/atom
- DOS at the Fermi energy: 0.507 states/eV/atom
- Total DFT energy (no corrections): -6.964 eV/atom
- Formation energy from the elements: 0.498 eV/atom